TiNiIO2 | GGA+U | relaxed

Output
For the final energy, the calculation gives -5.628 eV/atom. Its density of states at the Fermi level is 0.86 states/eV per cell. The total magnetic moment comes out at 1.0 μB per cell.

POSCAR file:
```
TiNiIO2
1.0
3.805 0.000 0.000
0.000 3.805 0.000
0.000 0.000 6.053
I Ni O Ti
1 1 2 1
Cartesian
0.000 0.000 3.026 I
1.902 1.902 3.026 Ni
0.000 1.902 0.000 O
1.902 0.000 0.000 O
0.000 0.000 0.000 Ti
```